# Dy3Zn3Ru2

An optimized crystal structure of Dy3Zn3Ru2 (PBE-GGA, the Alexandria database).

It has space group Cmcm (No. 63), with a = 3.8718 Å, b = 10.2190 Å, c = 16.4655 Å, α = 90.00°, β = 90.00° and γ = 90.00°. Symmetry generates all atoms from Dy at (0.0000, 0.0619, 0.1056), Dy at (0.0000, 0.3379, 0.2500), Zn at (0.0000, 0.3439, 0.0277), Zn at (0.0000, 0.3747, 0.7500) and Ru at (0.0000, 0.2287, 0.6218).

The calculation puts the raw total energy at -4.86 eV per atom. The formation energy comes out at -0.334 eV per atom.